1.
Here is a relaxed structure of BeAsAuO from OQMD. Energies are from GGA-PBE.

## Properties
E above lowest polymorph: 0.0 meV/atom

Geometry as CIF:
```
data_BeAsAuO
_chemical_formula_sum 'Be2 As2 Au2 O2'
_cell_length_a 2.810
_cell_length_b 6.987
_cell_length_c 6.132
_cell_angle_alpha 90.00
_cell_angle_beta 90.00
_cell_angle_gamma 90.00
_space_group_name_H-M_alt 'P m c 21'
_space_group_IT_number 26
loop_
_space_group_symop_operation_xyz
'x,y,z'
'-x,-y,z+1/2'
'-x,y,z'
'x,-y,z+1/2'
loop_
_atom_site_label
_atom_site_type_symbol
_atom_site_fract_x
_atom_site_fract_y
_atom_site_fract_z
Be1 Be 0.000 0.177 0.000
As1 As 0.000 0.485 0.808
Au1 Au 0.500 0.225 0.463
O1 O 0.500 0.099 0.003
```

=====

2.
Here is a relaxed structure of BeAsAuO from OQMD. Energies are from GGA-PBE.

## Properties
E above lowest polymorph: 1127.7 meV/atom

Geometry as CIF:
```
data_BeAsAuO
_chemical_formula_sum 'Be2 As2 Au2 O2'
_cell_length_a 3.987
_cell_length_b 3.987
_cell_length_c 7.790
_cell_angle_alpha 90.00
_cell_angle_beta 90.00
_cell_angle_gamma 90.00
_space_group_name_H-M_alt 'P 4/n m m'
_space_group_IT_number 129
loop_
_space_group_symop_operation_xyz
'x,y,z'
'-x,-y,-z'
'-y+1/2,x,z'
'y+1/2,-x,-z'
'-x+1/2,-y+1/2,z'
'x+1/2,y+1/2,-z'
'y,-x+1/2,z'
'-y,x+1/2,-z'
'x+1/2,-y,-z'
'-x+1/2,y,z'
'-y,-x,-z'
'y,x,z'
'-x,y+1/2,-z'
'x,-y+1/2,z'
'y+1/2,x+1/2,-z'
'-y+1/2,-x+1/2,z'
loop_
_atom_site_label
_atom_site_type_symbol
_atom_site_fract_x
_atom_site_fract_y
_atom_site_fract_z
Be1 Be 0.250 0.750 0.000
As1 As 0.250 0.250 0.156
Au1 Au 0.250 0.250 0.613
O1 O 0.250 0.750 0.500
```

=====

3.
Here is a relaxed structure of BeAsAuO from OQMD. Energies are from GGA-PBE.

## Properties
E above lowest polymorph: 135.6 meV/atom

Geometry as CIF:
```
data_BeAsAuO
_chemical_formula_sum 'Be2 As2 Au2 O2'
_cell_length_a 3.624
_cell_length_b 3.624
_cell_length_c 9.526
_cell_angle_alpha 90.00
_cell_angle_beta 90.00
_cell_angle_gamma 90.00
_space_group_name_H-M_alt 'P 4/n m m'
_space_group_IT_number 129
loop_
_space_group_symop_operation_xyz
'x,y,z'
'-x,-y,-z'
'-y+1/2,x,z'
'y+1/2,-x,-z'
'-x+1/2,-y+1/2,z'
'x+1/2,y+1/2,-z'
'y,-x+1/2,z'
'-y,x+1/2,-z'
'x+1/2,-y,-z'
'-x+1/2,y,z'
'-y,-x,-z'
'y,x,z'
'-x,y+1/2,-z'
'x,-y+1/2,z'
'y+1/2,x+1/2,-z'
'-y+1/2,-x+1/2,z'
loop_
_atom_site_label
_atom_site_type_symbol
_atom_site_fract_x
_atom_site_fract_y
_atom_site_fract_z
Be1 Be 0.250 0.250 0.010
As1 As 0.250 0.250 0.287
Au1 Au 0.250 0.750 0.500
O1 O 0.250 0.750 0.000
```

=====

4.
Here is a relaxed structure of BeAsPdAu from OQMD. Energies are from GGA-PBE.

## Properties
E above lowest polymorph: 100.3 meV/atom

Geometry as CIF:
```
data_BeAsPdAu
_chemical_formula_sum 'Be4 As4 Pd4 Au4'
_cell_length_a 6.291
_cell_length_b 6.291
_cell_length_c 6.291
_cell_angle_alpha 90.00
_cell_angle_beta 90.00
_cell_angle_gamma 90.00
_space_group_name_H-M_alt 'F -4 3 m'
_space_group_IT_number 216
_space_group_name_Hall 'F -4 2 3'
loop_
_atom_site_label
_atom_site_type_symbol
_atom_site_fract_x
_atom_site_fract_y
_atom_site_fract_z
Be1 Be 0.000 0.000 0.000
As1 As 0.250 0.250 0.250
Pd1 Pd 0.000 0.000 0.500
Au1 Au 0.250 0.250 0.750
```

=====

5.
Here is a relaxed structure of BeAsPdAu from OQMD. Energies are from GGA-PBE.

## Properties
E above lowest polymorph: 0.0 meV/atom

Geometry as CIF:
```
data_BeAsPdAu
_chemical_formula_sum 'Be4 As4 Pd4 Au4'
_cell_length_a 6.231
_cell_length_b 6.231
_cell_length_c 6.231
_cell_angle_alpha 90.00
_cell_angle_beta 90.00
_cell_angle_gamma 90.00
_space_group_name_H-M_alt 'F -4 3 m'
_space_group_IT_number 216
_space_group_name_Hall 'F -4 2 3'
loop_
_atom_site_label
_atom_site_type_symbol
_atom_site_fract_x
_atom_site_fract_y
_atom_site_fract_z
Be1 Be 0.000 0.000 0.000
As1 As 0.000 0.000 0.500
Pd1 Pd 0.250 0.250 0.750
Au1 Au 0.250 0.250 0.250
```

=====

6.
Here is a relaxed structure of BiAs2Au from OQMD. Energies are from GGA-PBE.

## Properties
total DFT energy (no corrections): -3.82 eV/atom

Geometry as CIF:
```
data_BiAs2Au
_chemical_formula_sum 'Bi4 As8 Au4'
_cell_length_a 7.063
_cell_length_b 7.063
_cell_length_c 7.063
_cell_angle_alpha 90.00
_cell_angle_beta 90.00
_cell_angle_gamma 90.00
_space_group_name_H-M_alt 'F -4 3 m'
_space_group_IT_number 216
_space_group_name_Hall 'F -4 2 3'
loop_
_atom_site_label
_atom_site_type_symbol
_atom_site_fract_x
_atom_site_fract_y
_atom_site_fract_z
Bi1 Bi 0.000 0.000 0.000
As1 As 0.000 0.000 0.500
As2 As 0.250 0.250 0.250
Au1 Au 0.250 0.250 0.750
```

=====

7.
Here is a relaxed structure of Cs4BiAsAu2 from OQMD. Energies are from GGA-PBE.

## Properties
total DFT energy (no corrections): -2.80 eV/atom

Geometry as CIF:
```
data_Cs4BiAsAu2
_chemical_formula_sum 'Cs8 Bi2 As2 Au4'
_cell_length_a 7.178
_cell_length_b 11.517
_cell_length_c 7.975
_cell_angle_alpha 90.00
_cell_angle_beta 90.00
_cell_angle_gamma 90.00
_space_group_name_H-M_alt 'A m m 2'
_space_group_IT_number 38
loop_
_space_group_symop_operation_xyz
'x,y,z'
'-x,-y,z'
'-x,y,z'
'x,-y,z'
'x,y+1/2,z+1/2'
'-x,-y+1/2,z+1/2'
'-x,y+1/2,z+1/2'
'x,-y+1/2,z+1/2'
loop_
_atom_site_label
_atom_site_type_symbol
_atom_site_fract_x
_atom_site_fract_y
_atom_site_fract_z
Cs1 Cs 0.000 0.164 0.000
Cs2 Cs 0.500 0.173 0.663
Bi1 Bi 0.000 0.000 0.557
As1 As 0.500 0.000 0.067
Au1 Au 0.273 0.000 0.307
```

=====

8.
Here is a relaxed structure of K4BiAsAu2 from OQMD. Energies are from GGA-PBE.

## Properties
total DFT energy (no corrections): -2.93 eV/atom

Geometry as CIF:
```
data_K4BiAsAu2
_chemical_formula_sum 'K8 Bi2 As2 Au4'
_cell_length_a 6.620
_cell_length_b 10.446
_cell_length_c 7.821
_cell_angle_alpha 90.00
_cell_angle_beta 90.00
_cell_angle_gamma 90.00
_space_group_name_H-M_alt 'A m m 2'
_space_group_IT_number 38
loop_
_space_group_symop_operation_xyz
'x,y,z'
'-x,-y,z'
'-x,y,z'
'x,-y,z'
'x,y+1/2,z+1/2'
'-x,-y+1/2,z+1/2'
'-x,y+1/2,z+1/2'
'x,-y+1/2,z+1/2'
loop_
_atom_site_label
_atom_site_type_symbol
_atom_site_fract_x
_atom_site_fract_y
_atom_site_fract_z
K1 K 0.000 0.168 0.000
K2 K 0.500 0.179 0.679
Bi1 Bi 0.000 0.000 0.593
As1 As 0.500 0.000 0.060
Au1 Au 0.266 0.000 0.316
```

=====

9.
Here is a relaxed structure of Mg2BiAsAu2 from OQMD. Energies are from GGA-PBE.

## Properties
total DFT energy (no corrections): -3.40 eV/atom

Geometry as CIF:
```
data_Mg2BiAsAu2
_chemical_formula_sum 'Mg8 Bi4 As4 Au8'
_cell_length_a 11.255
_cell_length_b 4.598
_cell_length_c 11.284
_cell_angle_alpha 90.00
_cell_angle_beta 109.67
_cell_angle_gamma 90.00
_space_group_name_H-M_alt 'P 1 m 1'
_space_group_IT_number 6
loop_
_space_group_symop_operation_xyz
'x,y,z'
'x,-y,z'
loop_
_atom_site_label
_atom_site_type_symbol
_atom_site_fract_x
_atom_site_fract_y
_atom_site_fract_z
Mg1 Mg 0.000 0.000 0.000
Mg2 Mg 0.100 0.500 0.367
Mg3 Mg 0.224 0.000 0.731
Mg4 Mg 0.373 0.500 0.134
Mg5 Mg 0.488 0.000 0.495
Mg6 Mg 0.615 0.500 0.855
Mg7 Mg 0.738 0.000 0.254
Mg8 Mg 0.856 0.500 0.612
Bi1 Bi 0.107 0.500 0.867
Bi2 Bi 0.357 0.500 0.612
Bi3 Bi 0.494 0.000 0.997
Bi4 Bi 0.864 0.500 0.116
As1 As 0.244 0.000 0.246
As2 As 0.612 0.500 0.371
As3 As 0.733 0.000 0.731
As4 As 0.980 0.000 0.488
Au1 Au 0.129 0.500 0.133
Au2 Au 0.221 0.000 0.476
Au3 Au 0.361 0.500 0.868
Au4 Au 0.492 0.000 0.256
Au5 Au 0.615 0.500 0.612
Au6 Au 0.742 0.000 0.971
Au7 Au 0.856 0.500 0.372
Au8 Au 0.972 0.000 0.729
```

=====

10.
Here is a relaxed structure of Rb4BiAsAu2 from OQMD. Energies are from GGA-PBE.

## Properties
total DFT energy (no corrections): -2.84 eV/atom

Geometry as CIF:
```
data_Rb4BiAsAu2
_chemical_formula_sum 'Rb8 Bi2 As2 Au4'
_cell_length_a 6.908
_cell_length_b 10.862
_cell_length_c 7.892
_cell_angle_alpha 90.00
_cell_angle_beta 90.00
_cell_angle_gamma 90.00
_space_group_name_H-M_alt 'A m m 2'
_space_group_IT_number 38
loop_
_space_group_symop_operation_xyz
'x,y,z'
'-x,-y,z'
'-x,y,z'
'x,-y,z'
'x,y+1/2,z+1/2'
'-x,-y+1/2,z+1/2'
'-x,y+1/2,z+1/2'
'x,-y+1/2,z+1/2'
loop_
_atom_site_label
_atom_site_type_symbol
_atom_site_fract_x
_atom_site_fract_y
_atom_site_fract_z
Rb1 Rb 0.000 0.165 0.000
Rb2 Rb 0.500 0.177 0.673
Bi1 Bi 0.000 0.000 0.573
As1 As 0.500 0.000 0.065
Au1 Au 0.271 0.000 0.314
```

=====

11.
Here is a relaxed structure of ReBiAsAu from OQMD. Energies are from GGA-PBE.

## Properties
E above lowest polymorph: 72.7 meV/atom

Geometry as CIF:
```
data_ReBiAsAu
_chemical_formula_sum 'Re4 Bi4 As4 Au4'
_cell_length_a 6.805
_cell_length_b 6.805
_cell_length_c 6.805
_cell_angle_alpha 90.00
_cell_angle_beta 90.00
_cell_angle_gamma 90.00
_space_group_name_H-M_alt 'F -4 3 m'
_space_group_IT_number 216
_space_group_name_Hall 'F -4 2 3'
loop_
_atom_site_label
_atom_site_type_symbol
_atom_site_fract_x
_atom_site_fract_y
_atom_site_fract_z
Re1 Re 0.000 0.000 0.000
Bi1 Bi 0.000 0.000 0.500
As1 As 0.250 0.250 0.250
Au1 Au 0.250 0.250 0.750
```

=====

12.
Here is a relaxed structure of ReBiAsAu from OQMD. Energies are from GGA-PBE.

## Properties
E above lowest polymorph: 0.0 meV/atom

Geometry as CIF:
```
data_ReBiAsAu
_chemical_formula_sum 'Re4 Bi4 As4 Au4'
_cell_length_a 6.809
_cell_length_b 6.809
_cell_length_c 6.809
_cell_angle_alpha 90.00
_cell_angle_beta 90.00
_cell_angle_gamma 90.00
_space_group_name_H-M_alt 'F -4 3 m'
_space_group_IT_number 216
_space_group_name_Hall 'F -4 2 3'
loop_
_atom_site_label
_atom_site_type_symbol
_atom_site_fract_x
_atom_site_fract_y
_atom_site_fract_z
Re1 Re 0.000 0.000 0.000
Bi1 Bi 0.250 0.250 0.250
As1 As 0.250 0.250 0.750
Au1 Au 0.000 0.000 0.500
```